The following is a PBE-GGA calculation of a geometry-optimized PrPuRhAu structure, from Alexandria.

Values from the calculation:
N(E_F) (states/eV per cell): 10.81
Calculated total energy (eV per atom): -7.999
Energy above the most stable polymorph in this dataset (kJ/mol of formula units): 0
DFT formation energy (eV/atom): -0.564
Crystal system: orthorhombic
Magnetic moment (μB/f.u.): 5.62

Cell lengths 4.253, 6.049, 6.049 Å; angles 38.68, 90.00, 90.00 degrees
Fractional positions:
Pr 0.000 0.000 0.000
Pu 0.500 0.284 0.284
Rh 0.000 0.748 0.748
Au 0.500 0.574 0.574